An optimized crystal structure of ZnHS2. Source: Alexandria via LeMat-Bulk, functional GGA-PBE.

Output
relative energy among the computed polymorphs	0	meV/atom
VASP energy	-39.34	eV per cell
N(E_F)	2.27	states/eV/f.u.

a b c (Å): 3.6869 3.6869 17.3170
angles (deg): 90.00 90.00 120.00
Last column: nearest neighbours and their distance in Å.
Space group R-3m (No. 166, hexagonal axes)
Asymmetric unit:
Zn 0.0000 0.0000 0.0000 (multiplicity 3)  6 S 2.48
H 0.0000 0.0000 0.5000 (multiplicity 3)  2 S 1.62
S 0.0000 0.0000 0.4066 (multiplicity 6)  1 H 1.62